w) YMoAsC2: optimized geometry, PBE-GGA.

Values from the calculation:
density: 5.7 g/cm³
space-group type: P4/mmm, No. 123

```
5
Lattice="4.186 0.000 0.000 0.000 4.186 0.000 0.000 0.000 4.722" Properties=species:S:1:pos:R:3 pbc="T T T"
Y 0.000 0.000 0.000
Mo 2.093 2.093 0.000
As 2.093 2.093 2.361
C 0.000 2.093 2.361
C 2.093 0.000 2.361
```

***

x) YMoAsC2: optimized geometry, PBE-GGA.

Values from the calculation:
density: 4.9 g/cm³
space-group type: P4/mmm, No. 123

```
5
Lattice="4.225 0.000 0.000 0.000 4.225 0.000 0.000 0.000 5.347" Properties=species:S:1:pos:R:3 pbc="T T T"
Y 0.000 0.000 0.000
Mo 2.112 2.112 2.674
As 0.000 0.000 2.674
C 0.000 2.112 0.000
C 2.112 0.000 0.000
```

***

Which one sits at the bottom of the stability order? x) does.

***

w) NaAs3C: optimized geometry, PBE-GGA.

Values from the calculation:
density: 4.7 g/cm³
space-group type: Pm-3m, No. 221

```
5
Lattice="4.501 0.000 0.000 0.000 4.501 0.000 0.000 0.000 4.501" Properties=species:S:1:pos:R:3 pbc="T T T"
Na 0.000 0.000 0.000
As 0.000 2.251 2.251
As 2.251 0.000 2.251
As 2.251 2.251 0.000
C 2.251 2.251 2.251
```

***

x) NaAs3C: optimized geometry, PBE-GGA.

Values from the calculation:
density: 3.5 g/cm³
space-group type: Pm-3m, No. 221

```
5
Lattice="4.974 0.000 0.000 0.000 4.974 0.000 0.000 0.000 4.974" Properties=species:S:1:pos:R:3 pbc="T T T"
Na 0.000 0.000 0.000
As 0.000 0.000 2.487
As 0.000 2.487 0.000
As 2.487 0.000 0.000
C 2.487 2.487 2.487
```

***

Which one sits at the bottom of the stability order? x) does.

***

w) Nb2AsC: optimized geometry, PBE-GGA.

Values from the calculation:
density: 8.0 g/cm³
space-group type: Fm-3m, No. 225

```
16
Lattice="6.096 0.000 0.000 0.000 6.096 0.000 0.000 0.000 6.096" Properties=species:S:1:pos:R:3 pbc="T T T"
Nb 1.524 1.524 1.524
Nb 1.524 1.524 4.572
Nb 1.524 4.572 1.524
Nb 1.524 4.572 4.572
Nb 4.572 1.524 1.524
Nb 4.572 1.524 4.572
Nb 4.572 4.572 1.524
Nb 4.572 4.572 4.572
As 0.000 0.000 0.000
As 0.000 3.048 3.048
As 3.048 0.000 3.048
As 3.048 3.048 0.000
C 0.000 0.000 3.048
C 0.000 3.048 0.000
C 3.048 0.000 0.000
C 3.048 3.048 3.048
```

***

x) Nb2AsC: optimized geometry, PBE-GGA.

Values from the calculation:
density: 6.1 g/cm³
space-group type: I-42d, No. 122

```
16
Lattice="5.337 0.000 0.000 0.000 5.337 0.000 0.000 0.000 10.494" Properties=species:S:1:pos:R:3 pbc="T T T"
Nb 0.928 1.334 1.312
Nb 1.334 3.597 3.935
Nb 1.334 4.408 9.182
Nb 1.740 1.334 6.559
Nb 3.597 4.003 6.559
Nb 4.003 0.928 9.182
Nb 4.003 1.740 3.935
Nb 4.408 4.003 1.312
As 0.000 0.000 5.247
As 0.000 2.668 7.870
As 2.668 0.000 2.623
As 2.668 2.668 0.000
C 0.000 0.000 0.000
C 0.000 2.668 2.623
C 2.668 0.000 7.870
C 2.668 2.668 5.247
```

***

Which one sits at the bottom of the stability order? w) does.

***

w) Nb2AsC: optimized geometry, PBE-GGA.

Values from the calculation:
density: 7.8 g/cm³
space-group type: R3m, No. 160

```
12
Lattice="3.303 0.000 0.000 -1.651 2.860 0.000 0.000 0.000 18.463" Properties=species:S:1:pos:R:3 pbc="T T T"
Nb 0.000 0.000 0.000
Nb 0.000 0.000 3.794
Nb 0.000 1.907 12.309
Nb 0.000 1.907 16.103
Nb 1.651 0.953 6.154
Nb 1.651 0.953 9.949
As 0.000 0.000 14.209
As 0.000 1.907 8.055
As 1.651 0.953 1.900
C 0.000 0.000 11.112
C 0.000 1.907 4.957
C 1.651 0.953 17.266
```

***

x) Nb2AsC: optimized geometry, PBE-GGA.

Values from the calculation:
density: 7.7 g/cm³
space-group type: R-3m, No. 166

```
12
Lattice="3.320 0.000 0.000 -1.660 2.875 0.000 0.000 0.000 18.549" Properties=species:S:1:pos:R:3 pbc="T T T"
Nb 0.000 0.000 4.228
Nb 0.000 0.000 14.321
Nb 0.000 1.917 8.138
Nb 0.000 1.917 16.594
Nb 1.660 0.958 1.955
Nb 1.660 0.958 10.411
As 0.000 0.000 0.000
As 0.000 1.917 12.366
As 1.660 0.958 6.183
C 0.000 0.000 9.274
C 0.000 1.917 3.091
C 1.660 0.958 15.457
```

***

y) Nb2AsC: optimized geometry, PBE-GGA.

Values from the calculation:
density: 7.8 g/cm³
space-group type: P6_3/mmc, No. 194

```
8
Lattice="3.339 0.000 0.000 -1.669 2.891 0.000 0.000 0.000 12.094" Properties=species:S:1:pos:R:3 pbc="T T T"
Nb 0.000 1.928 1.142
Nb 0.000 1.928 4.905
Nb 1.669 0.964 7.189
Nb 1.669 0.964 10.952
As 0.000 1.928 9.070
As 1.669 0.964 3.023
C 0.000 0.000 0.000
C 0.000 0.000 6.047
```

***

Which one sits at the bottom of the stability order? x) does.

***

w) NbAs3C: optimized geometry, PBE-GGA.

Values from the calculation:
density: 6.9 g/cm³
space-group type: Pm-3m, No. 221

```
5
Lattice="4.304 0.000 0.000 0.000 4.304 0.000 0.000 0.000 4.304" Properties=species:S:1:pos:R:3 pbc="T T T"
Nb 0.000 0.000 0.000
As 0.000 2.152 2.152
As 2.152 0.000 2.152
As 2.152 2.152 0.000
C 2.152 2.152 2.152
```

***

x) NbAs3C: optimized geometry, PBE-GGA.

Values from the calculation:
density: 4.4 g/cm³
space-group type: Pm-3m, No. 221

```
5
Lattice="4.982 0.000 0.000 0.000 4.982 0.000 0.000 0.000 4.982" Properties=species:S:1:pos:R:3 pbc="T T T"
Nb 0.000 0.000 0.000
As 0.000 0.000 2.491
As 0.000 2.491 0.000
As 2.491 0.000 0.000
C 2.491 2.491 2.491
```

***

Which one sits at the bottom of the stability order? x) does.

***

w) NbAsCSe2: optimized geometry, PBE-GGA.

Values from the calculation:
density: 4.4 g/cm³
space-group type: P4/mmm, No. 123

```
5
Lattice="4.979 0.000 0.000 0.000 4.979 0.000 0.000 0.000 5.092" Properties=species:S:1:pos:R:3 pbc="T T T"
Nb 0.000 0.000 0.000
As 0.000 0.000 2.546
C 2.489 2.489 2.546
Se 0.000 2.489 0.000
Se 2.489 0.000 0.000
```

***

x) NbAsCSe2: optimized geometry, PBE-GGA.

Values from the calculation:
density: 6.9 g/cm³
space-group type: P4/mmm, No. 123

```
5
Lattice="4.308 0.000 0.000 0.000 4.308 0.000 0.000 0.000 4.371" Properties=species:S:1:pos:R:3 pbc="T T T"
Nb 0.000 0.000 0.000
As 2.154 2.154 0.000
C 2.154 2.154 2.186
Se 0.000 2.154 2.186
Se 2.154 0.000 2.186
```

***

Which one sits at the bottom of the stability order? w) does.

***

w) NbAs2CSe: optimized geometry, PBE-GGA.

Values from the calculation:
density: 4.4 g/cm³
space-group type: P4/mmm, No. 123

```
5
Lattice="5.025 0.000 0.000 0.000 5.025 0.000 0.000 0.000 4.948" Properties=species:S:1:pos:R:3 pbc="T T T"
Nb 0.000 0.000 0.000
As 0.000 2.513 0.000
As 2.513 0.000 0.000
C 2.513 2.513 2.474
Se 0.000 0.000 2.474
```

***

x) NbAs2CSe: optimized geometry, PBE-GGA.

Values from the calculation:
density: 6.8 g/cm³
space-group type: P4/mmm, No. 123

```
5
Lattice="4.208 0.000 0.000 0.000 4.208 0.000 0.000 0.000 4.598" Properties=species:S:1:pos:R:3 pbc="T T T"
Nb 0.000 0.000 0.000
As 0.000 2.104 2.299
As 2.104 0.000 2.299
C 2.104 2.104 2.299
Se 2.104 2.104 0.000
```

***

Which one sits at the bottom of the stability order? w) does.